1.
Here is a relaxed PrHo2Er3 crystal from Alexandria. Energies are from PBE.

```
PrHo2Er3
1.0
10.943 -1.814 0.000
10.943 1.814 0.000
-5.789 0.000 9.662
Pr Ho Er
2 4 6
Cartesian
-0.377 0.000 4.694
16.474 0.000 4.968
-0.024 0.000 8.217
7.880 0.000 3.022
8.217 0.000 6.640
16.120 0.000 1.445
-3.276 0.000 9.542
2.845 0.000 3.330
4.969 0.000 7.961
11.128 0.000 1.701
13.252 0.000 6.332
19.373 0.000 0.120
```

Computed properties:
Mass density = 8.4 g cm⁻³
Distance to the lowest polymorph of the same formula = 12 meV/atom
Formation energy = 0.3 kcal/mol of atoms
VASP energy = -4.593 eV/atom

=====

2.
Here is a relaxed Pr4HoEr4 crystal from Alexandria. Energies are from PBE.

```
Pr4HoEr4
1.0
5.658 0.000 0.000
0.004 6.775 0.000
2.806 3.321 7.835
Pr Ho Er
4 1 4
Cartesian
1.421 2.871 1.832
4.222 8.843 7.369
4.246 1.253 0.466
7.048 7.225 6.003
4.232 1.660 3.918
1.421 6.393 2.820
4.217 5.336 5.787
4.251 4.760 2.049
7.048 3.703 5.015
```

Computed properties:
Mass density = 7.7 g cm⁻³
Distance to the lowest polymorph of the same formula = 85 meV/atom
Formation energy = 2.5 kcal/mol of atoms
VASP energy = -4.554 eV/atom

=====

3.
Here is a relaxed Pr12Ho6Er crystal from Alexandria. Energies are from PBE.

```
Pr12Ho6Er
1.0
7.459 4.307 3.518
-7.459 4.307 3.518
0.000 -8.613 3.518
Pr Ho Er
12 6 1
Cartesian
-1.104 -5.365 4.338
-5.199 -1.726 6.216
-2.187 -2.110 4.437
-4.094 3.639 4.338
-2.921 0.839 6.117
-0.734 2.949 4.437
0.734 -2.949 6.117
2.921 -0.839 4.437
4.094 -3.639 6.216
2.187 2.110 6.117
5.199 1.726 4.338
1.104 5.365 6.216
-2.787 0.646 2.543
0.834 -2.736 2.543
1.953 2.090 2.543
-1.953 -2.090 8.010
-0.834 2.736 8.010
2.787 -0.646 8.010
0.000 0.000 0.000
```

Computed properties:
Mass density = 7.0 g cm⁻³
Distance to the lowest polymorph of the same formula = 108 meV/atom
Formation energy = 5.4 kcal/mol of atoms
VASP energy = -4.468 eV/atom